Material: RbCoH4
Method: DFT, PBE-GGA
State: optimized geometry

extended XYZ file:
```
12
Lattice="2.895 -5.379 0.000 2.895 5.379 0.000 -0.005 0.000 4.834" Properties=species:S:1:pos:R:3 pbc="T T T"
Rb 2.891 3.726 3.625
Rb 2.894 -3.726 1.208
Co 2.891 0.301 3.625
Co 2.894 -0.301 1.208
H 1.464 0.884 3.629
H 1.466 -0.884 1.212
H 2.886 1.041 2.237
H 2.901 1.041 0.179
H 2.884 -1.041 4.654
H 2.899 -1.041 2.596
H 4.319 0.884 3.622
H 4.321 -0.884 1.205
```

## Properties
Calculated total energy: -43.40 eV per cell
D(E_F): 2.48 states/eV/cell